[1]
# MgTe4Rh

A relaxed MgTe4Rh crystal (GGA-PBEsol, Alexandria).

Cell and atoms, written as POSCAR:
```
MgTe4Rh
1.0
0.000 4.324 4.324
4.324 0.000 4.324
4.324 4.324 0.000
Mg Te Rh
1 4 1
direct
0.000 0.000 0.000 Mg
0.376 0.376 0.376 Te
0.376 0.376 0.873 Te
0.376 0.873 0.376 Te
0.873 0.376 0.376 Te
0.750 0.750 0.750 Rh
```

The total energy comes out at -3.2430 eV per atom. As for the crystal system: cubic. The calculation puts the density of states at the Fermi level at 0.864 states/eV/atom. The size of the total moment comes out at 0.000 μB per atom. As for the space group: F-43m (216).

---

[2]
# Mg3TeRh

A relaxed Mg3TeRh crystal (GGA-PBEsol, Alexandria).

Cell and atoms, written as POSCAR:
```
Mg3TeRh
1.0
5.155 0.000 0.000
0.000 5.155 0.000
0.000 0.000 5.155
Mg Te Rh
3 1 1
direct
0.000 0.000 0.500 Mg
0.000 0.500 0.000 Mg
0.500 0.000 0.000 Mg
0.000 0.000 0.000 Te
0.500 0.500 0.500 Rh
```

The total energy comes out at -2.5123 eV per atom. As for the crystal system: cubic. The calculation puts the density of states at the Fermi level at 0.565 states/eV/atom. The size of the total moment comes out at 0.000 μB per atom. As for the space group: Pm-3m (221).

---

[3]
# MgTeRh2

A relaxed MgTeRh2 crystal (GGA-PBEsol, Alexandria).

Cell and atoms, written as POSCAR:
```
MgTeRh2
1.0
4.237 0.000 0.000
0.000 4.237 0.000
0.000 0.000 3.545
Mg Te Rh
1 1 2
direct
0.000 0.000 0.000 Mg
0.500 0.500 0.000 Te
0.000 0.500 0.500 Rh
0.500 0.000 0.500 Rh
```

As for the relative energy among the computed polymorphs: 0 meV per atom. As for the crystal system: tetragonal. The calculation puts the density of states at the Fermi level at 0.614 states/eV/atom. The size of the total moment comes out at 0.000 μB per atom. As for the space group: P4/mmm (123).

---

[4]
# MgTe2Rh

A relaxed MgTe2Rh crystal (GGA-PBEsol, Alexandria).

Cell and atoms, written as POSCAR:
```
MgTe2Rh
1.0
3.557 0.000 0.000
-1.778 3.080 0.000
0.000 0.000 26.694
Mg Te Rh
3 6 3
direct
0.000 0.000 0.000 Mg
0.333 0.667 0.667 Mg
0.667 0.333 0.333 Mg
0.000 0.000 0.407 Te
0.000 0.000 0.593 Te
0.333 0.667 0.074 Te
0.333 0.667 0.259 Te
0.667 0.333 0.741 Te
0.667 0.333 0.926 Te
0.000 0.000 0.500 Rh
0.333 0.667 0.167 Rh
0.667 0.333 0.833 Rh
```

The total energy comes out at -3.9993 eV per atom. As for the crystal system: trigonal. The calculation puts the density of states at the Fermi level at 0.988 states/eV/atom. The size of the total moment comes out at 0.025 μB per atom. As for the space group: R-3m (166).

---

[5]
# MgTeRh2

A relaxed MgTeRh2 crystal (GGA-PBEsol, Alexandria).

Cell and atoms, written as POSCAR:
```
MgTeRh2
1.0
9.323 0.000 0.000
0.000 3.294 0.000
-1.132 0.000 4.231
Mg Te Rh
2 2 4
direct
0.000 0.000 0.000 Mg
0.500 0.500 0.000 Mg
0.263 0.500 0.378 Te
0.763 0.000 0.378 Te
0.262 0.000 0.880 Rh
0.493 0.000 0.497 Rh
0.762 0.500 0.880 Rh
0.993 0.500 0.497 Rh
```

As for the relative energy among the computed polymorphs: 28 meV per atom. As for the crystal system: monoclinic. The calculation puts the density of states at the Fermi level at 0.566 states/eV/atom. The size of the total moment comes out at 0.000 μB per atom. As for the space group: Cm (8).

---

[6]
# MgTiRh3

A relaxed MgTiRh3 crystal (GGA-PBEsol, Alexandria).

Cell and atoms, written as POSCAR:
```
MgTiRh3
1.0
4.355 0.000 0.000
0.000 4.355 0.000
0.000 0.000 4.355
Mg Ti Rh
1 1 3
direct
0.000 0.000 0.000 Mg
0.500 0.500 0.500 Ti
0.000 0.000 0.500 Rh
0.000 0.500 0.000 Rh
0.500 0.000 0.000 Rh
```

As for the crystal system: cubic. The calculation puts the density of states at the Fermi level at 0.914 states/eV/atom. The size of the total moment comes out at 0.000 μB per atom. As for the space group: Pm-3m (221). The formation energy comes out at 830 meV/atom.

---

[7]
# MgTi3Rh

A relaxed MgTi3Rh crystal (GGA-PBEsol, Alexandria).

Cell and atoms, written as POSCAR:
```
MgTi3Rh
1.0
4.556 0.000 0.000
0.000 4.556 0.000
0.000 0.000 4.556
Mg Ti Rh
1 3 1
direct
0.000 0.000 0.000 Mg
0.000 0.000 0.500 Ti
0.000 0.500 0.000 Ti
0.500 0.000 0.000 Ti
0.500 0.500 0.500 Rh
```

As for the crystal system: cubic. The calculation puts the density of states at the Fermi level at 1.864 states/eV/atom. The size of the total moment comes out at 0.000 μB per atom. As for the space group: Pm-3m (221). The formation energy comes out at 1495 meV/atom.

---

[8]
# MgTlRh2

A relaxed MgTlRh2 crystal (GGA-PBEsol, Alexandria).

Cell and atoms, written as POSCAR:
```
MgTlRh2
1.0
3.196 0.000 0.000
0.000 3.196 0.000
0.000 0.000 6.251
Mg Tl Rh
1 1 2
direct
0.000 0.000 0.000 Mg
0.000 0.000 0.500 Tl
0.500 0.500 0.242 Rh
0.500 0.500 0.758 Rh
```

As for the crystal system: tetragonal. The calculation puts the density of states at the Fermi level at 0.368 states/eV/atom. The size of the total moment comes out at 0.000 μB per atom. As for the space group: P4/mmm (123). The formation energy comes out at -206 meV/atom.

---

[9]
# Mg2TlRh

A relaxed Mg2TlRh crystal (GGA-PBEsol, Alexandria).

Cell and atoms, written as POSCAR:
```
Mg2TlRh
1.0
4.097 0.000 0.000
0.000 4.097 0.000
0.000 0.000 8.510
Mg Tl Rh
4 2 2
direct
0.000 0.500 0.250 Mg
0.000 0.500 0.750 Mg
0.500 0.000 0.250 Mg
0.500 0.000 0.750 Mg
0.000 0.000 0.000 Tl
0.500 0.500 0.500 Tl
0.000 0.000 0.500 Rh
0.500 0.500 0.000 Rh
```

As for the crystal system: tetragonal. The calculation puts the density of states at the Fermi level at 0.422 states/eV/atom. The size of the total moment comes out at 0.000 μB per atom. As for the space group: I4/mmm (139). The formation energy comes out at -174 meV/atom.

---

[10]
# Mg2TlRh

A relaxed Mg2TlRh crystal (GGA-PBEsol, Alexandria).

Cell and atoms, written as POSCAR:
```
Mg2TlRh
1.0
3.196 0.000 0.000
0.000 3.196 0.000
0.000 0.000 7.351
Mg Tl Rh
2 1 1
direct
0.000 0.000 0.196 Mg
0.000 0.000 0.804 Mg
0.500 0.500 0.500 Tl
0.500 0.500 0.000 Rh
```

As for the crystal system: tetragonal. The calculation puts the density of states at the Fermi level at 0.402 states/eV/atom. The size of the total moment comes out at 0.000 μB per atom. As for the space group: P4/mmm (123). The formation energy comes out at -287 meV/atom.

---

[11]
# MgTlRh2

A relaxed MgTlRh2 crystal (GGA-PBEsol, Alexandria).

Cell and atoms, written as POSCAR:
```
MgTlRh2
1.0
3.137 0.000 0.000
0.000 4.437 0.000
0.000 0.000 9.423
Mg Tl Rh
2 2 4
direct
0.000 0.000 0.000 Mg
0.500 0.500 0.500 Mg
0.000 0.500 0.772 Tl
0.500 0.000 0.272 Tl
0.000 0.000 0.520 Rh
0.000 0.500 0.256 Rh
0.500 0.000 0.756 Rh
0.500 0.500 0.020 Rh
```

As for the crystal system: orthorhombic. The calculation puts the density of states at the Fermi level at 1.106 states/eV/atom. The size of the total moment comes out at 0.001 μB per atom. As for the space group: Imm2 (44). The formation energy comes out at -59 meV/atom.

---

[12]
# Mg2TlRh2

A relaxed Mg2TlRh2 crystal (GGA-PBEsol, Alexandria).

Cell and atoms, written as POSCAR:
```
Mg2TlRh2
1.0
7.184 0.000 0.000
0.000 7.184 0.000
0.000 0.000 3.315
Mg Tl Rh
4 2 4
direct
0.148 0.352 0.000 Mg
0.352 0.852 0.000 Mg
0.648 0.148 0.000 Mg
0.852 0.648 0.000 Mg
0.000 0.000 0.500 Tl
0.500 0.500 0.500 Tl
0.148 0.648 0.500 Rh
0.352 0.148 0.500 Rh
0.648 0.852 0.500 Rh
0.852 0.352 0.500 Rh
```

As for the crystal system: tetragonal. The calculation puts the density of states at the Fermi level at 0.521 states/eV/atom. The size of the total moment comes out at 0.000 μB per atom. As for the space group: P4/mbm (127). The formation energy comes out at -247 meV/atom.

---

[13]
# MgTlRh2

A relaxed MgTlRh2 crystal (GGA-PBEsol, Alexandria).

Cell and atoms, written as POSCAR:
```
MgTlRh2
1.0
6.382 0.000 0.000
0.000 6.382 0.000
0.000 0.000 6.382
Mg Tl Rh
4 4 8
direct
0.000 0.000 0.000 Mg
0.000 0.500 0.500 Mg
0.500 0.000 0.500 Mg
0.500 0.500 0.000 Mg
0.250 0.250 0.250 Tl
0.250 0.750 0.750 Tl
0.750 0.250 0.750 Tl
0.750 0.750 0.250 Tl
0.000 0.000 0.500 Rh
0.000 0.500 0.000 Rh
0.250 0.250 0.750 Rh
0.250 0.750 0.250 Rh
0.500 0.000 0.000 Rh
0.500 0.500 0.500 Rh
0.750 0.250 0.250 Rh
0.750 0.750 0.750 Rh
```

As for the crystal system: cubic. The calculation puts the density of states at the Fermi level at 1.805 states/eV/atom. The size of the total moment comes out at 0.019 μB per atom. As for the space group: F-43m (216). The formation energy comes out at 35 meV/atom.

---

[14]
# Mg2TlRh

A relaxed Mg2TlRh crystal (GGA-PBEsol, Alexandria).

Cell and atoms, written as POSCAR:
```
Mg2TlRh
1.0
4.422 0.000 0.000
0.000 3.122 0.000
0.000 0.000 10.930
Mg Tl Rh
4 2 2
direct
0.000 0.000 0.000 Mg
0.000 0.500 0.500 Mg
0.500 0.000 0.338 Mg
0.500 0.500 0.838 Mg
0.000 0.000 0.727 Tl
0.000 0.500 0.227 Tl
0.500 0.000 0.582 Rh
0.500 0.500 0.082 Rh
```

As for the crystal system: orthorhombic. The calculation puts the density of states at the Fermi level at 0.401 states/eV/atom. The size of the total moment comes out at 0.000 μB per atom. As for the space group: Amm2 (38). The formation energy comes out at -143 meV/atom.

---

[15]
# Tm4MgRh

A relaxed Tm4MgRh crystal (GGA-PBEsol, Alexandria).

Cell and atoms, written as POSCAR:
```
Tm4MgRh
1.0
0.000 6.670 6.670
6.670 0.000 6.670
6.670 6.670 0.000
Tm Mg Rh
16 4 4
direct
0.063 0.063 0.437 Tm
0.063 0.437 0.063 Tm
0.063 0.437 0.437 Tm
0.185 0.185 0.815 Tm
0.185 0.815 0.185 Tm
0.185 0.815 0.815 Tm
0.210 0.597 0.597 Tm
0.437 0.063 0.063 Tm
0.437 0.063 0.437 Tm
0.437 0.437 0.063 Tm
0.597 0.210 0.597 Tm
0.597 0.597 0.210 Tm
0.597 0.597 0.597 Tm
0.815 0.185 0.185 Tm
0.815 0.185 0.815 Tm
0.815 0.815 0.185 Tm
0.510 0.830 0.830 Mg
0.830 0.510 0.830 Mg
0.830 0.830 0.510 Mg
0.830 0.830 0.830 Mg
0.392 0.392 0.392 Rh
0.392 0.392 0.825 Rh
0.392 0.825 0.392 Rh
0.825 0.392 0.392 Rh
```

As for the crystal system: cubic. The calculation puts the density of states at the Fermi level at 0.963 states/eV/atom. The size of the total moment comes out at 0.000 μB per atom. As for the space group: F-43m (216). The formation energy comes out at -395 meV/atom.

---

[16]
# TmMgRh2

A relaxed TmMgRh2 crystal (GGA-PBEsol, Alexandria).

Cell and atoms, written as POSCAR:
```
TmMgRh2
1.0
6.418 0.000 0.000
0.000 6.418 0.000
0.000 0.000 6.418
Tm Mg Rh
4 4 8
direct
0.000 0.000 0.000 Tm
0.000 0.500 0.500 Tm
0.500 0.000 0.500 Tm
0.500 0.500 0.000 Tm
0.000 0.000 0.500 Mg
0.000 0.500 0.000 Mg
0.500 0.000 0.000 Mg
0.500 0.500 0.500 Mg
0.250 0.250 0.250 Rh
0.250 0.250 0.750 Rh
0.250 0.750 0.250 Rh
0.250 0.750 0.750 Rh
0.750 0.250 0.250 Rh
0.750 0.250 0.750 Rh
0.750 0.750 0.250 Rh
0.750 0.750 0.750 Rh
```

As for the crystal system: cubic. The calculation puts the density of states at the Fermi level at 0.443 states/eV/atom. The size of the total moment comes out at 0.000 μB per atom. As for the space group: Fm-3m (225). The formation energy comes out at -721 meV/atom.

---

[17]
# Mg2RhW

A relaxed Mg2RhW crystal (GGA-PBEsol, Alexandria).

Cell and atoms, written as POSCAR:
```
Mg2RhW
1.0
5.314 0.000 0.000
0.000 9.118 0.000
-0.822 0.000 2.618
Mg Rh W
4 2 2
direct
0.250 0.250 0.000 Mg
0.250 0.750 0.000 Mg
0.750 0.250 0.000 Mg
0.750 0.750 0.000 Mg
0.000 0.000 0.500 Rh
0.500 0.500 0.500 Rh
0.000 0.500 0.500 W
0.500 0.000 0.500 W
```

As for the crystal system: monoclinic. The calculation puts the density of states at the Fermi level at 0.635 states/eV/atom. The size of the total moment comes out at 0.000 μB per atom. As for the space group: C2/m (12). The formation energy comes out at 216 meV/atom.

---

[18]
# MgRhW2

A relaxed MgRhW2 crystal (GGA-PBEsol, Alexandria).

Cell and atoms, written as POSCAR:
```
MgRhW2
1.0
3.707 0.000 0.000
0.000 3.707 0.000
0.000 0.000 8.863
Mg Rh W
2 2 4
direct
0.000 0.000 0.000 Mg
0.500 0.500 0.500 Mg
0.000 0.000 0.500 Rh
0.500 0.500 0.000 Rh
0.000 0.500 0.250 W
0.000 0.500 0.750 W
0.500 0.000 0.250 W
0.500 0.000 0.750 W
```

As for the crystal system: tetragonal. The calculation puts the density of states at the Fermi level at 0.732 states/eV/atom. The size of the total moment comes out at 0.000 μB per atom. As for the space group: I4/mmm (139). The formation energy comes out at 178 meV/atom.

---

[19]
# MgRh2W

A relaxed MgRh2W crystal (GGA-PBEsol, Alexandria).

Cell and atoms, written as POSCAR:
```
MgRh2W
1.0
6.168 0.000 0.000
0.000 6.168 0.000
0.000 0.000 6.168
Mg Rh W
4 8 4
direct
0.000 0.000 0.000 Mg
0.000 0.500 0.500 Mg
0.500 0.000 0.500 Mg
0.500 0.500 0.000 Mg
0.000 0.000 0.500 Rh
0.000 0.500 0.000 Rh
0.250 0.250 0.750 Rh
0.250 0.750 0.250 Rh
0.500 0.000 0.000 Rh
0.500 0.500 0.500 Rh
0.750 0.250 0.250 Rh
0.750 0.750 0.750 Rh
0.250 0.250 0.250 W
0.250 0.750 0.750 W
0.750 0.250 0.750 W
0.750 0.750 0.250 W
```

As for the crystal system: cubic. The calculation puts the density of states at the Fermi level at 1.886 states/eV/atom. The size of the total moment comes out at 0.001 μB per atom. As for the space group: F-43m (216). The formation energy comes out at 302 meV/atom.

---

[20]
# MgRh2W

A relaxed MgRh2W crystal (GGA-PBEsol, Alexandria).

Cell and atoms, written as POSCAR:
```
MgRh2W
1.0
2.852 0.000 0.000
0.000 2.852 0.000
0.000 0.000 7.212
Mg Rh W
1 2 1
direct
0.000 0.000 0.000 Mg
0.500 0.500 0.257 Rh
0.500 0.500 0.743 Rh
0.000 0.000 0.500 W
```

As for the crystal system: tetragonal. The calculation puts the density of states at the Fermi level at 0.518 states/eV/atom. The size of the total moment comes out at 0.000 μB per atom. As for the space group: P4/mmm (123). The formation energy comes out at -320 meV/atom.